Sr2LiUSe5 | PBE | relaxed

Summary:
E_form (uncorrected): -1.5120 eV/atom
calculated density: 5351 kg/m3
electronic total energy: -5.29 eV per atom

```
data_Sr2LiUSe5
_chemical_formula_sum 'Sr8 Li4 U4 Se20'
_cell_length_a 4.259
_cell_length_b 17.838
_cell_length_c 13.317
_cell_angle_alpha 90.00
_cell_angle_beta 90.00
_cell_angle_gamma 90.00
_space_group_name_H-M_alt 'C m c 21'
_space_group_IT_number 36
loop_
_space_group_symop_operation_xyz
'x,y,z'
'-x,-y,z+1/2'
'-x,y,z'
'x,-y,z+1/2'
'x+1/2,y+1/2,z'
'-x+1/2,-y+1/2,z+1/2'
'-x+1/2,y+1/2,z'
'x+1/2,-y+1/2,z+1/2'
loop_
_atom_site_label
_atom_site_fract_x
_atom_site_fract_y
_atom_site_fract_z
Sr1 0.000 0.090 0.000
Sr2 0.000 0.120 0.640
Li1 0.000 0.439 0.777
U1 0.000 0.217 0.354
Se1 0.000 0.070 0.386
Se2 0.000 0.273 0.995
Se3 0.000 0.296 0.718
Se4 0.000 0.368 0.329
Se5 0.000 0.499 0.608
```